(1)
Entry from Alexandria: TbNdErTm3 after structural relaxation (PBE).

Cell lengths 4.999, 7.907, 10.001 Å; angles 90.00, 90.00, 108.45 degrees
Fractional coordinates of all 12 atoms:
Tb1 0.000 0.000 0.000
Tb2 0.000 0.000 0.500
Er1 0.831 0.663 0.750
Er2 0.169 0.337 0.250
Tm1 0.168 0.337 0.750
Tm2 0.332 0.664 0.000
Tm3 0.668 0.336 0.000
Tm4 0.668 0.336 0.500
Tm5 0.332 0.664 0.500
Tm6 0.832 0.663 0.250
Nd1 0.500 0.000 0.750
Nd2 0.500 0.000 0.250

Energy of formation in kJ/mol of atoms: 2

---

(2)
Entry from Alexandria: SrTbBr2 after structural relaxation (PBE).

Cell lengths 3.874, 3.874, 10.734 Å; angles 79.60, 79.60, 60.00 degrees
Fractional coordinates of all 4 atoms:
Br1 0.104 0.104 0.689
Br2 0.896 0.896 0.311
Sr1 0.000 0.000 0.000
Tb1 0.500 0.500 0.500

Formation energy (no corrections) in eV/atom: -1.1050

---

(3)
Entry from Alexandria: TbPm2ErS4 after structural relaxation (PBE).

Cell lengths 3.915, 6.831, 6.969 Å; angles 108.83, 90.00, 90.00 degrees
Fractional coordinates of all 8 atoms:
S1 0.500 0.758 0.765
S2 0.000 0.749 0.237
S3 0.000 0.251 0.763
S4 0.500 0.242 0.235
Er1 0.000 0.000 0.000
Tb1 0.500 0.500 0.000
Pm1 0.500 0.000 0.500
Pm2 0.000 0.500 0.500

Formation energy (no corrections) in eV/atom: -2.0104

---

(4)
Entry from Alexandria: Ca2TlPb5 after structural relaxation (PBE).

Cell lengths 4.799, 7.069, 14.192 Å; angles 90.00, 90.00, 90.00 degrees
Fractional coordinates of all 16 atoms:
Pb1 0.500 0.749 0.375
Pb2 0.000 0.999 0.752
Pb3 0.000 0.501 0.252
Pb4 0.000 0.000 0.000
Pb5 0.500 0.249 0.125
Pb6 0.000 0.500 0.500
Pb7 0.500 0.251 0.625
Pb8 0.500 0.751 0.875
Pb9 0.000 0.499 0.748
Pb10 0.000 0.001 0.248
Ca1 0.500 0.748 0.125
Ca2 0.500 0.248 0.375
Ca3 0.500 0.252 0.875
Ca4 0.500 0.752 0.625
Tl1 0.000 0.000 0.500
Tl2 0.000 0.500 0.000

Energy of formation in kJ/mol of atoms: -31

---

(5)
Entry from Alexandria: Mn2ReOs after structural relaxation (PBE).

Cell lengths 4.238, 4.238, 3.008 Å; angles 90.00, 90.00, 90.00 degrees
Last column: magnetic moment on the atom in μB.
Fractional coordinates of all 4 atoms:
Mn1 0.500 0.500 0.000  2.62
Mn2 0.000 0.000 0.000  2.62
Re1 0.000 0.500 0.500  -0.45
Os1 0.500 0.000 0.500  0.12

Energy of formation in kJ/mol of atoms: 10

---

(6)
Entry from Alexandria: Ca2Zn3CdGe4 after structural relaxation (PBE).

Cell lengths 4.348, 4.348, 10.952 Å; angles 90.00, 90.00, 90.00 degrees
Fractional coordinates of all 10 atoms:
Zn1 0.000 0.000 0.500
Zn2 0.500 0.000 0.869
Zn3 0.000 0.500 0.131
Ge1 0.000 0.500 0.354
Ge2 0.500 0.500 0.000
Ge3 0.000 0.000 0.000
Ge4 0.500 0.000 0.646
Ca1 0.000 0.500 0.756
Ca2 0.500 0.000 0.244
Cd1 0.500 0.500 0.500

Energy of formation in kJ/mol of atoms: -29

---

| no. | density of states at the Fermi level (states/eV/f.u.) |
| --- | --- |
| 1 | 8.3 |
| 2 | 4.1 |
| 3 | 4.4 |
| 4 | 1.9 |
| 5 | 3.6 |
| 6 | 2.4 |